[1]
DFT (PBEsol) results for BeP2Os after structural relaxation.

abc: 3.053 4.007 4.007
angles: 90.00 90.00 90.00
Atoms (fractional coordinates):
P: 0.000 0.000 0.500
P: 0.000 0.500 0.000
Os: 0.500 0.000 0.000
Be: 0.500 0.500 0.500

The space-group type is P4/mmm. The total energy is -6.61 eV/atom.



[2]
DFT (PBEsol) results for Y3Tl5 after structural relaxation.

abc: 6.376 6.376 10.320
angles: 90.00 90.00 102.28
Atoms (fractional coordinates):
Y: 0.206 0.794 0.000
Y: 0.794 0.206 0.000
Y: 0.794 0.206 0.500
Y: 0.206 0.794 0.500
Y: 0.613 0.613 0.750
Y: 0.387 0.387 0.250
Tl: 0.510 0.067 0.750
Tl: 0.490 0.933 0.250
Tl: 0.067 0.510 0.750
Tl: 0.933 0.490 0.250
Tl: 0.002 0.002 0.750
Tl: 0.998 0.998 0.250
Tl: 0.303 0.303 0.961
Tl: 0.697 0.697 0.039
Tl: 0.697 0.697 0.461
Tl: 0.303 0.303 0.539

The space-group type is Cmcm. The total energy is -4.62 eV/atom.



[3]
DFT (PBEsol) results for ZrCo4Ir after structural relaxation.

abc: 4.724 4.724 4.724
angles: 60.00 60.00 60.00
Site moments in Bohr magnetons follow the coordinates.
Atoms (fractional coordinates):
Ir: 0.750 0.750 0.750  0.53
Co: 0.376 0.376 0.376  1.44
Co: 0.376 0.376 0.872  1.44
Co: 0.872 0.376 0.376  1.44
Co: 0.376 0.872 0.376  1.44
Zr: 0.000 0.000 0.000  -0.24

The space-group type is F-43m. The total energy is -8.58 eV/atom.



[4]
DFT (PBEsol) results for Tl2SnS3 after structural relaxation.

abc: 3.826 7.273 11.457
angles: 92.67 99.61 90.00
Atoms (fractional coordinates):
Tl: 0.661 0.778 0.321
Tl: 0.339 0.222 0.679
Tl: 0.491 0.746 0.982
Tl: 0.509 0.254 0.018
Sn: 0.848 0.729 0.697
Sn: 0.152 0.271 0.303
S: 0.914 0.995 0.828
S: 0.086 0.005 0.172
S: 0.911 0.476 0.822
S: 0.089 0.524 0.178
S: 0.280 0.728 0.560
S: 0.720 0.272 0.440

The space-group type is C2/m. Its formation energy from raw total energies is -0.37 eV/atom. The total energy is -4.15 eV/atom.



[5]
DFT (PBEsol) results for KTe4Au after structural relaxation.

abc: 6.313 6.313 6.313
angles: 60.00 60.00 60.00
Atoms (fractional coordinates):
Au: 0.750 0.750 0.750
K: 0.000 0.000 0.000
Te: 0.377 0.377 0.377
Te: 0.377 0.377 0.870
Te: 0.870 0.377 0.377
Te: 0.377 0.870 0.377

The space-group type is F-43m. Its formation energy from raw total energies is 0.12 eV/atom. The total energy is -3.08 eV/atom.



[6]
DFT (PBEsol) results for HoErRu2 after structural relaxation.

abc: 4.695 4.695 4.695
angles: 60.00 60.00 60.00
Atoms (fractional coordinates):
Ru: 0.750 0.750 0.750
Ru: 0.250 0.250 0.250
Ho: 0.500 0.500 0.500
Er: 0.000 0.000 0.000

The space-group type is Fm-3m. The total energy is -7.87 eV/atom.